Record 1
An optimized crystal structure of Co5Pb, computed with GGA-PBEsol.

Cell and atoms, written as CIF:
```
data_Co5Pb
_chemical_formula_sum 'Co5 Pb1'
_space_group_name_H-M_alt 'P 1'
_space_group_IT_number 1
_space_group_name_Hall 'P 1'
_cell_length_a 4.7383
_cell_length_b 4.7383
_cell_length_c 4.7383
_cell_angle_alpha 60.00
_cell_angle_beta 60.00
_cell_angle_gamma 60.00
loop_
_atom_site_label
_atom_site_fract_x
_atom_site_fract_y
_atom_site_fract_z
Co1 0.6242 0.6242 0.1273
Co2 0.2500 0.2500 0.2500
Pb1 0.0000 0.0000 0.0000
Co3 0.6242 0.6242 0.6242
Co4 0.1273 0.6242 0.6242
Co5 0.6242 0.1273 0.6242
```

Energy relative to the elements in meV per atom: 395
SG: F-43m (216)



Record 2
An optimized crystal structure of ZnPb2Se, computed with GGA-PBEsol.

Cell and atoms, written as CIF:
```
data_ZnPb2Se
_chemical_formula_sum 'Zn1 Pb2 Se1'
_space_group_name_H-M_alt 'P 1'
_space_group_IT_number 1
_space_group_name_Hall 'P 1'
_cell_length_a 4.7867
_cell_length_b 5.4442
_cell_length_c 4.7867
_cell_angle_alpha 63.92
_cell_angle_beta 90.00
_cell_angle_gamma 116.08
loop_
_atom_site_label
_atom_site_fract_x
_atom_site_fract_y
_atom_site_fract_z
Pb1 0.2500 0.5000 0.2500
Se1 0.5000 0.0000 0.5000
Zn1 0.0000 0.0000 0.0000
Pb2 0.7500 0.5000 0.7500
```

Relative energy among the computed polymorphs in eV per formula unit: 0.73
SG: I4/mmm (139)
Raw formation energy in eV/f.u.: 0.15



Record 3
An optimized crystal structure of NdAl3Pb2O8, computed with GGA-PBEsol.

Cell and atoms, written as CIF:
```
data_NdAl3Pb2O8
_chemical_formula_sum 'Nd4 Al12 Pb8 O32'
_space_group_name_H-M_alt 'P 1'
_space_group_IT_number 1
_space_group_name_Hall 'P 1'
_cell_length_a 9.5360
_cell_length_b 9.5360
_cell_length_c 9.5360
_cell_angle_alpha 90.00
_cell_angle_beta 90.00
_cell_angle_gamma 90.00
loop_
_atom_site_label
_atom_site_fract_x
_atom_site_fract_y
_atom_site_fract_z
Pb1 0.3671 0.6329 0.6329
O1 0.3912 0.3912 0.6088
O2 0.8423 0.8423 0.5139
O3 0.8912 0.1088 0.1088
Al1 0.5000 0.0000 0.2500
Al2 0.5000 0.7500 0.0000
O4 0.3423 0.0139 0.6577
O5 0.1577 0.5139 0.1577
Pb2 0.1329 0.8671 0.8671
O6 0.5139 0.1577 0.1577
O7 0.6577 0.3423 0.0139
O8 0.9861 0.6577 0.6577
O9 0.0139 0.3423 0.6577
Nd1 0.2500 0.2500 0.7500
O10 0.5139 0.8423 0.8423
O11 0.3423 0.9861 0.3423
Al3 0.7500 0.5000 0.0000
O12 0.6577 0.0139 0.3423
Al4 0.0000 0.5000 0.7500
Al5 0.5000 0.0000 0.7500
O13 0.4861 0.1577 0.8423
O14 0.8423 0.1577 0.4861
O15 0.3912 0.6088 0.3912
O16 0.3423 0.3423 0.9861
Pb3 0.6329 0.6329 0.3671
O17 0.6088 0.6088 0.6088
Al6 0.5000 0.2500 0.0000
Al7 0.0000 0.7500 0.5000
O18 0.9861 0.3423 0.3423
O19 0.0139 0.6577 0.3423
O20 0.1088 0.1088 0.8912
Al8 0.2500 0.5000 0.0000
O21 0.8912 0.8912 0.8912
O22 0.3423 0.6577 0.0139
O23 0.6577 0.9861 0.6577
O24 0.1577 0.4861 0.8423
Al9 0.0000 0.5000 0.2500
Al10 0.0000 0.2500 0.5000
Pb4 0.8671 0.8671 0.1329
O25 0.1577 0.1577 0.5139
Nd2 0.7500 0.7500 0.7500
O26 0.8423 0.5139 0.8423
Al11 0.2500 0.0000 0.5000
O27 0.4861 0.8423 0.1577
Pb5 0.8671 0.1329 0.8671
Pb6 0.3671 0.3671 0.3671
Al12 0.7500 0.0000 0.5000
O28 0.6577 0.6577 0.9861
O29 0.6088 0.3912 0.3912
O30 0.1088 0.8912 0.1088
Nd3 0.7500 0.2500 0.2500
O31 0.8423 0.4861 0.1577
Pb7 0.1329 0.1329 0.1329
O32 0.1577 0.8423 0.4861
Pb8 0.6329 0.3671 0.6329
Nd4 0.2500 0.7500 0.2500
```

SG: Pn-3m (224)
Raw formation energy in eV/f.u.: -35.84



Record 4
An optimized crystal structure of CeIn2Pt2, computed with GGA-PBEsol.

Cell and atoms, written as CIF:
```
data_CeIn2Pt2
_chemical_formula_sum 'Ce4 In8 Pt8'
_space_group_name_H-M_alt 'P 1'
_space_group_IT_number 1
_space_group_name_Hall 'P 1'
_cell_length_a 4.3951
_cell_length_b 10.1023
_cell_length_c 10.1925
_cell_angle_alpha 116.93
_cell_angle_beta 90.00
_cell_angle_gamma 90.00
loop_
_atom_site_label
_atom_site_fract_x
_atom_site_fract_y
_atom_site_fract_z
In1 0.7500 0.6455 0.5529
Ce1 0.7500 0.4015 0.7098
In2 0.2500 0.5935 0.9627
Pt1 0.2500 0.9316 0.8953
Ce2 0.2500 0.9519 0.2061
In3 0.7500 0.4065 0.0373
In4 0.7500 0.7700 0.8987
Ce3 0.7500 0.0481 0.7939
In5 0.2500 0.2300 0.1013
In6 0.7500 0.8837 0.4291
Pt2 0.7500 0.3788 0.2948
In7 0.2500 0.1163 0.5709
Pt3 0.2500 0.2900 0.8596
Pt4 0.7500 0.7100 0.1404
Pt5 0.2500 0.6212 0.7052
Pt6 0.7500 0.0684 0.1047
Pt7 0.2500 0.8408 0.5813
Ce4 0.2500 0.5985 0.2902
Pt8 0.7500 0.1592 0.4187
In8 0.2500 0.3545 0.4471
```

Energy relative to the elements in meV per atom: -754
SG: P2_1/m (11)



Record 5
An optimized crystal structure of ZnTeMoO6, computed with GGA-PBEsol.

Cell and atoms, written as CIF:
```
data_ZnTeMoO6
_chemical_formula_sum 'Zn2 Te2 Mo2 O12'
_space_group_name_H-M_alt 'P 1'
_space_group_IT_number 1
_space_group_name_Hall 'P 1'
_cell_length_a 5.0315
_cell_length_b 5.2426
_cell_length_c 8.8032
_cell_angle_alpha 90.00
_cell_angle_beta 90.00
_cell_angle_gamma 90.00
loop_
_atom_site_label
_atom_site_fract_x
_atom_site_fract_y
_atom_site_fract_z
O1 0.7385 0.6804 0.7071
O2 0.8445 0.2877 0.9269
Te1 0.5000 0.0000 0.7503
O3 0.2615 0.3196 0.7071
Mo1 0.5000 0.0000 0.1909
Zn1 0.5000 0.5000 0.5223
O4 0.2385 0.8196 0.2929
Zn2 0.0000 0.0000 0.4777
O5 0.7239 0.1784 0.6081
O6 0.2761 0.8216 0.6081
O7 0.7615 0.1804 0.2929
O8 0.3445 0.2123 0.0731
O9 0.1555 0.7123 0.9269
Mo2 0.0000 0.5000 0.8091
O10 0.2239 0.3216 0.3919
Te2 0.0000 0.5000 0.2497
O11 0.7761 0.6784 0.3919
O12 0.6555 0.7877 0.0731
```

SG: P2_12_12 (18)
Raw formation energy in eV/f.u.: -13.99



Record 6
An optimized crystal structure of CoRhBrCl2, computed with GGA-PBEsol.

Cell and atoms, written as CIF:
```
data_CoRhBrCl2
_chemical_formula_sum 'Co1 Rh1 Br1 Cl2'
_space_group_name_H-M_alt 'P 1'
_space_group_IT_number 1
_space_group_name_Hall 'P 1'
_cell_length_a 4.6195
_cell_length_b 4.6195
_cell_length_c 5.0362
_cell_angle_alpha 90.00
_cell_angle_beta 90.00
_cell_angle_gamma 90.00
loop_
_atom_site_label
_atom_site_fract_x
_atom_site_fract_y
_atom_site_fract_z
Co1 0.5000 0.5000 0.5000
Rh1 0.0000 0.0000 0.0000
Br1 0.0000 0.0000 0.5000
Cl1 0.5000 0.0000 0.0000
Cl2 0.0000 0.5000 0.0000
```

SG: P4/mmm (123)
Raw formation energy in eV/f.u.: 2.39



Record 7
An optimized crystal structure of As2Au, computed with GGA-PBEsol.

Cell and atoms, written as CIF:
```
data_As2Au
_chemical_formula_sum 'As2 Au1'
_space_group_name_H-M_alt 'P 1'
_space_group_IT_number 1
_space_group_name_Hall 'P 1'
_cell_length_a 2.9385
_cell_length_b 2.9385
_cell_length_c 7.3801
_cell_angle_alpha 90.00
_cell_angle_beta 90.00
_cell_angle_gamma 120.00
loop_
_atom_site_label
_atom_site_fract_x
_atom_site_fract_y
_atom_site_fract_z
As1 0.6667 0.3333 0.6925
As2 0.3333 0.6667 0.3075
Au1 0.0000 0.0000 0.0000
```

Energy relative to the elements in meV per atom: 300
SG: P-3m1 (164)



Record 8
An optimized crystal structure of BeAl2, computed with GGA-PBEsol.

Cell and atoms, written as CIF:
```
data_BeAl2
_chemical_formula_sum 'Be2 Al4'
_space_group_name_H-M_alt 'P 1'
_space_group_IT_number 1
_space_group_name_Hall 'P 1'
_cell_length_a 4.6457
_cell_length_b 4.7752
_cell_length_c 4.7752
_cell_angle_alpha 76.31
_cell_angle_beta 60.89
_cell_angle_gamma 60.89
loop_
_atom_site_label
_atom_site_fract_x
_atom_site_fract_y
_atom_site_fract_z
Al1 0.6597 0.1807 0.5000
Al2 0.1597 0.5000 0.1807
Be1 0.2500 0.0000 0.0000
Al3 0.3403 0.8193 0.5000
Al4 0.8403 0.5000 0.8193
Be2 0.7500 0.0000 0.0000
```

Energy relative to the elements in meV per atom: 70
SG: I4/mcm (140)



Number 1: raw total energy -40.31 eV/cell. Number 2: raw total energy -13.28 eV/cell. Number 3: raw total energy -413.08 eV/cell. Number 4: raw total energy -121.04 eV/cell. Number 5: raw total energy -124.73 eV/cell. Number 6: raw total energy -19.37 eV/cell. Number 7: raw total energy -13.24 eV/cell. Number 8: raw total energy -23.95 eV/cell.